--- w ---
Material: Er4PdRu2
Method: DFT, PBE-GGA
State: optimized geometry

a b c (Å): 7.384 7.384 7.384
angles (deg): 109.22 109.98 109.22
Element x y z (fractional)
Er1 0.614 0.750 0.500
Er2 0.500 0.114 0.251
Er3 0.250 0.250 0.864
Er4 0.613 0.750 0.999
Pd1 0.750 0.500 0.250
Ru1 0.875 0.102 0.477
Pd2 0.000 0.000 0.000
Er5 0.136 0.386 0.387
Er6 0.749 0.250 0.863
Ru2 0.523 0.398 0.625
Er7 0.137 0.886 0.386
Ru3 0.375 0.898 0.773
Er8 0.001 0.614 0.750
Ru4 0.227 0.602 0.125

The calculation puts the density of states at the Fermi level at 0.472 states/eV/atom. The total moment comes out at 0.000 μB/atom.

***

--- x ---
Material: Er4PdRu2
Method: DFT, PBE-GGA
State: optimized geometry

a b c (Å): 4.777 4.777 6.812
angles (deg): 90.00 90.00 90.00
Element x y z (fractional)
Er1 0.000 0.500 0.253
Ru1 0.000 0.000 0.000
Er2 0.500 0.000 0.253
Er3 0.500 0.000 0.747
Pd1 0.500 0.500 0.000
Ru2 0.500 0.500 0.500
Er4 0.000 0.500 0.747

The calculation puts the density of states at the Fermi level at 0.704 states/eV/atom. The total moment comes out at 0.000 μB/atom.

***

x is preferred energetically. Next in line: 0.060 eV/atom higher.

***

--- w ---
Material: Er8PdRu2
Method: DFT, PBE-GGA
State: optimized geometry

a b c (Å): 5.766 7.512 7.512
angles (deg): 112.30 99.86 99.86
Element x y z (fractional)
Er1 0.989 0.780 0.224
Pd1 0.118 0.001 0.001
Er2 0.582 0.079 0.341
Er3 0.797 0.631 0.631
Ru1 0.490 0.316 0.695
Er4 0.392 0.929 0.667
Er5 0.179 0.370 0.370
Er6 0.582 0.341 0.079
Er7 0.392 0.667 0.929
Ru2 0.490 0.695 0.316
Er8 0.989 0.224 0.780

The calculation puts the density of states at the Fermi level at 0.866 states/eV/atom. The total moment comes out at 0.000 μB/atom.

***

--- x ---
Material: Er8PdRu2
Method: DFT, PBE-GGA
State: optimized geometry

a b c (Å): 4.811 6.864 9.001
angles (deg): 106.91 105.50 90.00
Element x y z (fractional)
Er1 0.403 0.537 0.806
Pd1 0.500 0.000 0.000
Er2 0.796 0.684 0.592
Er3 0.204 0.316 0.408
Er4 0.033 0.783 0.065
Er5 0.671 0.965 0.341
Ru1 0.186 0.703 0.371
Er6 0.597 0.463 0.194
Er7 0.329 0.035 0.659
Ru2 0.814 0.297 0.629
Er8 0.967 0.217 0.935

The calculation puts the density of states at the Fermi level at 1.055 states/eV/atom. The total moment comes out at 0.000 μB/atom.

***

x is preferred energetically. Next in line: 0.040 eV/atom higher.

***

--- w ---
Material: TbErPdRu
Method: DFT, PBE-GGA
State: optimized geometry

a b c (Å): 4.865 4.865 4.865
angles (deg): 60.00 60.00 60.00
Element x y z (fractional)
Er1 0.750 0.750 0.750
Pd1 0.000 0.000 0.000
Ru1 0.500 0.500 0.500
Tb1 0.250 0.250 0.250

The calculation puts the density of states at the Fermi level at 0.453 states/eV/atom. The total moment comes out at 0.000 μB/atom.

***

--- x ---
Material: TbErPdRu
Method: DFT, PBE-GGA
State: optimized geometry

a b c (Å): 3.440 3.440 6.913
angles (deg): 90.00 90.00 90.00
Element x y z (fractional)
Er1 0.500 0.500 0.598
Ru1 0.000 0.000 0.361
Pd1 0.000 0.000 0.852
Tb1 0.500 0.500 0.118

The calculation puts the density of states at the Fermi level at 0.469 states/eV/atom. The total moment comes out at 0.000 μB/atom.

***

x is preferred energetically. Next in line: 0.035 eV/atom higher.

***

--- w ---
Material: YErPdRu
Method: DFT, PBE-GGA
State: optimized geometry

a b c (Å): 4.862 4.862 4.862
angles (deg): 60.00 60.00 60.00
Element x y z (fractional)
Ru1 0.250 0.250 0.250
Pd1 0.750 0.750 0.750
Er1 0.500 0.500 0.500
Y1 0.000 0.000 0.000

The calculation puts the density of states at the Fermi level at 0.395 states/eV/atom. The total moment comes out at 0.000 μB/atom.

***

--- x ---
Material: YErPdRu
Method: DFT, PBE-GGA
State: optimized geometry

a b c (Å): 3.441 3.441 6.899
angles (deg): 90.00 90.00 90.00
Element x y z (fractional)
Y1 0.500 0.500 0.117
Ru1 0.000 0.000 0.362
Er1 0.500 0.500 0.598
Pd1 0.000 0.000 0.851

The calculation puts the density of states at the Fermi level at 0.456 states/eV/atom. The total moment comes out at 0.000 μB/atom.

***

x is preferred energetically. Next in line: 0.036 eV/atom higher.